Record 1
A PBEsol-optimized structure of NaTa2CrBi. Source: Alexandria via LeMat-Bulk, functional meta-GGA SCAN.

Output
**ΔH_f (0 K)**: 1066 meV per atom

```
data_NaTa2CrBi
_cell_length_a 4.6335
_cell_length_b 4.6335
_cell_length_c 5.1502
_cell_angle_alpha 90.00
_cell_angle_beta 90.00
_cell_angle_gamma 90.00
_space_group_name_H-M_alt 'P 1'
_space_group_IT_number 1
_space_group_name_Hall 'P 1'
loop_
_atom_site_label
_atom_site_fract_x
_atom_site_fract_y
_atom_site_fract_z
Cr1 0.0000 0.0000 0.0000
Na1 0.5000 0.5000 0.5000
Bi1 0.0000 0.0000 0.5000
Ta1 0.0000 0.5000 0.0000
Ta2 0.5000 0.0000 0.0000
```

Record 2
A PBEsol-optimized structure of NbCr3Bi. Source: Alexandria via LeMat-Bulk, functional meta-GGA SCAN.

Output
**ΔH_f (0 K)**: 1218 meV per atom

```
data_NbCr3Bi
_cell_length_a 4.7152
_cell_length_b 4.7152
_cell_length_c 4.7152
_cell_angle_alpha 90.00
_cell_angle_beta 90.00
_cell_angle_gamma 90.00
_space_group_name_H-M_alt 'P 1'
_space_group_IT_number 1
_space_group_name_Hall 'P 1'
loop_
_atom_site_label
_atom_site_fract_x
_atom_site_fract_y
_atom_site_fract_z
Cr1 0.0000 0.5000 0.0000
Cr2 0.0000 0.0000 0.5000
Cr3 0.5000 0.0000 0.0000
Nb1 0.0000 0.0000 0.0000
Bi1 0.5000 0.5000 0.5000
```

Look up the ΔH_f (0 K) of the first one.
1066 meV per atom